! GGA-PBE TaTlTe2, relaxed; values from VASP
&SYSTEM
  ibrav = 0, nat = 4, ntyp = 3
/
ATOMIC_SPECIES
Ta 180.95 Ta.upf
Tl 204.38 Tl.upf
Te 127.60 Te.upf
CELL_PARAMETERS angstrom
-1.791 1.856 8.679
1.791 -1.856 8.679
1.791 1.856 -8.679
ATOMIC_POSITIONS crystal
Ta 0.000 0.000 0.000
Tl 0.759 0.259 0.500
Te 0.119 0.619 0.500
Te 0.425 0.425 0.000
! **Space-group type**: No. 44
! **Formation energy without anion corrections**: -0.055 eV/atom
! **DOS at the Fermi energy**: 2.845 states/eV/f.u.
! **Total DFT energy (no corrections)**: -5.18 eV/atom